No. 1
Crystalline CaHoP2Pd5 at its relaxed geometry. Source: the Alexandria database, functional PBE-GGA.

Cell lengths 4.1740, 4.1740, 8.7767 Å; angles 90.00, 90.00, 90.00 degrees
Fractional coordinates of all 9 atoms:
Ca (0.0000, 0.0000, 0.0000)
Ho (0.0000, 0.0000, 0.5000)
P (0.5000, 0.5000, 0.3737)
P (0.5000, 0.5000, 0.6263)
Pd (0.0000, 0.5000, 0.2421)
Pd (0.0000, 0.5000, 0.7579)
Pd (0.5000, 0.0000, 0.2421)
Pd (0.5000, 0.0000, 0.7579)
Pd (0.5000, 0.5000, 0.0000)

Values from the calculation:
The value obtained for the total magnetic moment is 0.000 μB/atom. The total energy is -5.673 eV/atom.


No. 2
Crystalline Nd2SmAg6 at its relaxed geometry. Source: the Alexandria database, functional PBE-GGA.

Cell lengths 8.3291, 8.3291, 3.5596 Å; angles 90.00, 90.00, 120.00 degrees
Fractional coordinates of all 9 atoms:
Nd (0.3333, 0.6667, 0.0000)
Nd (0.6667, 0.3333, 0.0000)
Sm (0.0000, 0.0000, 0.0000)
Ag (0.0000, 0.3325, 0.5000)
Ag (0.0000, 0.6675, 0.5000)
Ag (0.3325, 0.0000, 0.5000)
Ag (0.3325, 0.3325, 0.5000)
Ag (0.6675, 0.0000, 0.5000)
Ag (0.6675, 0.6675, 0.5000)

Values from the calculation:
The value obtained for the total magnetic moment is 0.000 μB/atom. The total energy is -3.742 eV/atom.


No. 3
Crystalline LaGa3Ag at its relaxed geometry. Source: the Alexandria database, functional PBE-GGA.

Cell lengths 6.2843, 6.2843, 6.2843 Å; angles 138.94, 138.94, 59.46 degrees
Fractional coordinates of all 5 atoms:
La (0.0000, 0.0000, 0.0000)
Ga (0.2626, 0.7626, 0.5000)
Ga (0.4021, 0.4021, 0.0000)
Ga (0.7626, 0.2626, 0.5000)
Ag (0.6344, 0.6344, 0.0000)

Values from the calculation:
The value obtained for the total magnetic moment is 0.000 μB/atom. The energy above the most stable polymorph in this dataset is 0 meV/atom.


No. 4
Crystalline Nd3Ho4Er5 at its relaxed geometry. Source: the Alexandria database, functional PBE-GGA.

Cell lengths 9.3231, 9.3231, 8.6640 Å; angles 115.09, 115.09, 35.55 degrees
Fractional coordinates of all 12 atoms:
Nd (0.0000, 0.0000, 0.0000)
Nd (0.3152, 0.3152, 0.7729)
Nd (0.6848, 0.6848, 0.2271)
Ho (0.2915, 0.2915, 0.3501)
Ho (0.4638, 0.4638, 0.3035)
Ho (0.5362, 0.5362, 0.6965)
Ho (0.7085, 0.7085, 0.6499)
Er (0.0958, 0.0958, 0.4403)
Er (0.1609, 0.1609, 0.8912)
Er (0.5000, 0.5000, 0.0000)
Er (0.8391, 0.8391, 0.1088)
Er (0.9042, 0.9042, 0.5597)

Values from the calculation:
The value obtained for the total magnetic moment is 0.016 μB/atom. The energy above the most stable polymorph in this dataset is 265 meV/atom.


No. 5
Crystalline VZn2SnAu at its relaxed geometry. Source: the Alexandria database, functional PBE-GGA.

Cell lengths 4.8854, 4.8854, 4.9779 Å; angles 90.00, 90.00, 90.00 degrees
Fractional coordinates of all 5 atoms:
V (0.0000, 0.0000, 0.0000)
Zn (0.0000, 0.5000, 0.0000)
Zn (0.5000, 0.0000, 0.0000)
Sn (0.5000, 0.5000, 0.5000)
Au (0.0000, 0.0000, 0.5000)

Values from the calculation:
The value obtained for the total magnetic moment is 0.558 μB/atom. The total energy is -3.101 eV/atom.


No. 6
Crystalline LaInNi at its relaxed geometry. Source: the Alexandria database, functional PBE-GGA.

Cell lengths 4.9790, 4.9790, 4.9790 Å; angles 60.00, 60.00, 60.00 degrees
Fractional coordinates of all 3 atoms:
La (0.0000, 0.0000, 0.0000)
In (0.7500, 0.7500, 0.7500)
Ni (0.2500, 0.2500, 0.2500)

Values from the calculation:
The value obtained for the total magnetic moment is 0.000 μB/atom. The total energy is -4.104 eV/atom.


No. 7
Crystalline LaSbOs2 at its relaxed geometry. Source: the Alexandria database, functional PBE-GGA.

Cell lengths 3.0166, 4.1609, 6.9678 Å; angles 90.00, 101.04, 90.00 degrees
Fractional coordinates of all 4 atoms:
La (0.0000, 0.0000, 0.0000)
Sb (0.3381, 0.5000, 0.6619)
Os (0.3967, 0.0000, 0.4061)
Os (0.7794, 0.5000, 0.2915)

Values from the calculation:
For the uncorrected formation energy, the calculation gives 0.16 eV per atom. The value obtained for the total magnetic moment is 0.000 μB/atom.


No. 8
Crystalline CoH4Rh at its relaxed geometry. Source: the Alexandria database, functional PBE-GGA.

Cell lengths 2.6351, 4.4591, 16.5107 Å; angles 90.00, 97.16, 90.00 degrees
Fractional coordinates of all 24 atoms:
Co (0.1245, 0.2294, 0.3750)
Co (0.1245, 0.2706, 0.8750)
Co (0.8755, 0.7294, 0.1250)
Co (0.8755, 0.7706, 0.6250)
H (0.0788, 0.5529, 0.3166)
H (0.0788, 0.9471, 0.8166)
H (0.1700, 0.5938, 0.9332)
H (0.1700, 0.9062, 0.4332)
H (0.3327, 0.6188, 0.5702)
H (0.3327, 0.8812, 0.0702)
H (0.4186, 0.5785, 0.1800)
H (0.4186, 0.9215, 0.6800)
H (0.5814, 0.0785, 0.3200)
H (0.5814, 0.4215, 0.8200)
H (0.6673, 0.1188, 0.9298)
H (0.6673, 0.3812, 0.4298)
H (0.8300, 0.0938, 0.5668)
H (0.8300, 0.4062, 0.0668)
H (0.9212, 0.0529, 0.1834)
H (0.9212, 0.4471, 0.6834)
Rh (0.3755, 0.2293, 0.1251)
Rh (0.3755, 0.2707, 0.6251)
Rh (0.6245, 0.7293, 0.3749)
Rh (0.6245, 0.7707, 0.8749)

Values from the calculation:
The value obtained for the total magnetic moment is 0.076 μB/atom. The total energy is -4.556 eV/atom.


No. 9
Crystalline PmSm3Ho6Tm2 at its relaxed geometry. Source: the Alexandria database, functional PBE-GGA.

Cell lengths 6.1536, 6.1536, 11.7664 Å; angles 94.98, 94.98, 119.97 degrees
Fractional coordinates of all 12 atoms:
Pm (0.0000, 0.0000, 0.0000)
Sm (0.1669, 0.8331, 0.5000)
Sm (0.5000, 0.5000, 0.5000)
Sm (0.8331, 0.1669, 0.5000)
Ho (0.0830, 0.4171, 0.2479)
Ho (0.2512, 0.2512, 0.7522)
Ho (0.4171, 0.0830, 0.2479)
Ho (0.5829, 0.9170, 0.7521)
Ho (0.7488, 0.7488, 0.2478)
Ho (0.9170, 0.5829, 0.7521)
Tm (0.3332, 0.6668, 0.0000)
Tm (0.6668, 0.3332, 0.0000)

Values from the calculation:
The value obtained for the total magnetic moment is 0.000 μB/atom. The total energy is -4.591 eV/atom.


No. 10
Crystalline Ba2TlGe at its relaxed geometry. Source: the Alexandria database, functional PBE-GGA.

Cell lengths 6.9236, 4.7089, 9.9648 Å; angles 90.00, 108.72, 90.00 degrees
Fractional coordinates of all 8 atoms:
Ba (0.1889, 0.2500, 0.4201)
Ba (0.2791, 0.7500, 0.0567)
Ba (0.7209, 0.2500, 0.9433)
Ba (0.8111, 0.7500, 0.5799)
Tl (0.3693, 0.7500, 0.7146)
Tl (0.6307, 0.2500, 0.2854)
Ge (0.1549, 0.2500, 0.7825)
Ge (0.8451, 0.7500, 0.2175)

Values from the calculation:
The value obtained for the total magnetic moment is 0.085 μB/atom. The total energy is -3.163 eV/atom.


No. 11
Crystalline Cd2RuAu at its relaxed geometry. Source: the Alexandria database, functional PBE-GGA.

Cell lengths 4.2705, 4.2705, 3.9329 Å; angles 90.00, 90.00, 90.00 degrees
Fractional coordinates of all 4 atoms:
Cd (0.0000, 0.5000, 0.0000)
Cd (0.5000, 0.0000, 0.0000)
Ru (0.0000, 0.0000, 0.5000)
Au (0.5000, 0.5000, 0.5000)

Values from the calculation:
The value obtained for the total magnetic moment is 0.154 μB/atom. The energy above the most stable polymorph in this dataset is 0 meV/atom.


No. 12
Crystalline NaAg3Se at its relaxed geometry. Source: the Alexandria database, functional PBE-GGA.

Cell lengths 5.1825, 5.1825, 5.1825 Å; angles 90.00, 90.00, 90.00 degrees
Fractional coordinates of all 5 atoms:
Na (0.0000, 0.0000, 0.0000)
Ag (0.0000, 0.5000, 0.5000)
Ag (0.5000, 0.0000, 0.5000)
Ag (0.5000, 0.5000, 0.0000)
Se (0.5000, 0.5000, 0.5000)

Values from the calculation:
For the uncorrected formation energy, the calculation gives 0.20 eV per atom. The value obtained for the total magnetic moment is 0.000 μB/atom. The energy above the most stable polymorph in this dataset is 0 meV/atom.